Entry from the Alexandria database: crystalline Sr2ZrAg at its relaxed geometry (PBE).

E_tot = -12.69 eV for the cell shown
Total moment = 0.94 μB per cell
Crystal system = cubic
Space-group type = F-43m (216)

a b c (Å): 5.5735 5.5735 5.5735
angles (deg): 60.00 60.00 60.00
Last column: magnetic moment on the atom in μB.
Element x y z (fractional)
Sr1 0.2500 0.2500 0.2500  0.03
Sr2 0.0000 0.0000 0.0000  0.04
Zr1 0.7500 0.7500 0.7500  0.50
Ag1 0.5000 0.5000 0.5000  0.01